(P)
Material: Pm5DyHo2
Method: DFT, PBE
State: optimized geometry

Cell lengths 13.2093, 13.2093, 6.5807 Å; angles 91.28, 91.28, 151.81 degrees
Closest atoms and distances in Å follow each position.
Positions (direct):
Pm  0.1239  0.8761  0.7500  4 Pm 3.12-3.23
Pm  0.1281  0.4979  0.0034  2 Pm 3.06-3.12, 1 Ho 3.27
Pm  0.1586  0.3550  0.6841  3 Pm 3.06-3.23, 1 Ho 3.19
Pm  0.3550  0.1586  0.1841  3 Pm 3.06-3.23, 1 Ho 3.19
Pm  0.4979  0.1281  0.5034  2 Pm 3.06-3.12, 1 Ho 3.27
Pm  0.5021  0.8719  0.4966  2 Pm 3.06-3.12, 1 Ho 3.27
Pm  0.6450  0.8414  0.8159  3 Pm 3.06-3.23, 1 Ho 3.19
Pm  0.8414  0.6450  0.3159  3 Pm 3.06-3.23, 1 Ho 3.19
Pm  0.8719  0.5021  0.9966  2 Pm 3.06-3.12, 1 Ho 3.27
Pm  0.8761  0.1239  0.2500  4 Pm 3.12-3.23
Dy  0.4530  0.5470  0.2500  8 Pm 3.63-4.04, 4 Ho 3.68-3.93
Dy  0.5470  0.4530  0.7500  8 Pm 3.63-4.04, 4 Ho 3.68-3.93
Ho  0.0000  0.0000  0.0000  2 Pm 3.19, 2 Ho 3.29
Ho  0.0000  0.0000  0.5000  2 Pm 3.19, 2 Ho 3.29
Ho  0.0000  0.5000  0.5000  2 Pm 3.27
Ho  0.5000  0.0000  0.0000  2 Pm 3.27

Calculated values
The total moment is 0.00 μB/cell. Its symmetry is No. 15.

(Q)
Material: Pm5DyHo2
Method: DFT, PBE
State: optimized geometry

Cell lengths 7.2090, 14.4190, 5.0952 Å; angles 90.00, 90.00, 90.00 degrees
Closest atoms and distances in Å follow each position.
Positions (direct):
Pm  0.0000  0.0000  0.0000  4 Ho 3.60, 6 Pm 3.60-3.62, 2 Dy 3.60
Pm  0.0007  0.2510  0.0000  1 Dy 3.59, 4 Ho 3.60-3.62, 7 Pm 3.60-3.62
Pm  0.2488  0.6242  0.5000  4 Ho 3.58-3.63, 2 Dy 3.59, 6 Pm 3.60-3.62
Pm  0.2512  0.1242  0.5000  4 Ho 3.58-3.63, 2 Dy 3.59, 6 Pm 3.60-3.62
Pm  0.4993  0.7510  0.0000  1 Dy 3.59, 4 Ho 3.60-3.62, 7 Pm 3.60-3.62
Pm  0.5000  0.5000  0.0000  4 Ho 3.60, 6 Pm 3.60-3.62, 2 Dy 3.60
Pm  0.5007  0.2490  0.0000  1 Dy 3.59, 4 Ho 3.60-3.62, 7 Pm 3.60-3.62
Pm  0.7488  0.8758  0.5000  4 Ho 3.58-3.63, 2 Dy 3.59, 6 Pm 3.60-3.62
Pm  0.7512  0.3758  0.5000  4 Ho 3.58-3.63, 2 Dy 3.59, 6 Pm 3.60-3.62
Pm  0.9993  0.7490  0.0000  1 Dy 3.59, 4 Ho 3.60-3.62, 7 Pm 3.60-3.62
Dy  0.0000  0.5000  0.0000  8 Pm 3.59-3.60, 4 Ho 3.60
Dy  0.5000  0.0000  0.0000  8 Pm 3.59-3.60, 4 Ho 3.60
Ho  0.2502  0.3757  0.5000  10 Pm 3.58-3.63, 2 Dy 3.60
Ho  0.2498  0.8757  0.5000  10 Pm 3.58-3.63, 2 Dy 3.60
Ho  0.7502  0.1243  0.5000  10 Pm 3.58-3.63, 2 Dy 3.60
Ho  0.7498  0.6243  0.5000  10 Pm 3.58-3.63, 2 Dy 3.60

Calculated values
The total moment is 0.00 μB/cell. Its symmetry is No. 55.

Least stable of them? (P).